Entry 1:
# Sr2LiInPd6 (GGA-PBE, optimized geometry)
data_Sr2LiInPd6
_chemical_formula_sum 'Sr2 Li1 In1 Pd6'
_cell_length_a 5.667
_cell_length_b 6.633
_cell_length_c 6.749
_cell_angle_alpha 89.14
_cell_angle_beta 65.19
_cell_angle_gamma 64.80
_space_group_name_H-M_alt 'P -1'
_space_group_IT_number 2
loop_
_space_group_symop_operation_xyz
'x,y,z'
'-x,-y,-z'
loop_
_atom_site_label
_atom_site_type_symbol
_atom_site_fract_x
_atom_site_fract_y
_atom_site_fract_z
Sr1 Sr 0.244 0.253 0.258
Li1 Li 0.500 0.500 0.500
In1 In 0.000 0.000 0.000
Pd1 Pd 0.197 0.304 0.811
Pd2 Pd 0.256 0.932 0.555
Pd3 Pd 0.311 0.696 0.189
# - total magnetization (μB per formula unit) = 0.0
# - electronic total energy (eV for the cell shown) = -43.70
# - formation energy from the elements (kJ/mol of atoms) = -44

Entry 2:
# CsSb3Au3 (GGA-PBE, optimized geometry)
data_CsSb3Au3
_chemical_formula_sum 'Cs6 Sb18 Au18'
_cell_length_a 8.0862
_cell_length_b 8.0862
_cell_length_c 26.8851
_cell_angle_alpha 90.00
_cell_angle_beta 90.00
_cell_angle_gamma 120.00
_space_group_name_H-M_alt 'R -3'
_space_group_IT_number 148
_space_group_name_Hall '-R 3'
loop_
_atom_site_label
_atom_site_type_symbol
_atom_site_fract_x
_atom_site_fract_y
_atom_site_fract_z
Cs1 Cs 0.0000 0.0000 0.1669
Sb1 Sb 0.0017 0.3254 0.6121
Au1 Au 0.0018 0.3435 0.3837
# - total magnetization (μB per formula unit) = 0.0
# - electronic total energy (eV for the cell shown) = -143.78
# - raw formation energy (eV per atom) = -0.130
# - energy above the lowest structure with this stoichiometry (meV per atom) = 82

Entry 3:
# BiTe2O8 (GGA-PBE, optimized geometry)
data_BiTe2O8
_chemical_formula_sum 'Bi2 Te4 O16'
_cell_length_a 6.389
_cell_length_b 10.314
_cell_length_c 3.879
_cell_angle_alpha 90.00
_cell_angle_beta 93.94
_cell_angle_gamma 90.00
_space_group_name_H-M_alt 'C 1 2/m 1'
_space_group_IT_number 12
loop_
_space_group_symop_operation_xyz
'x,y,z'
'-x,-y,-z'
'-x,y,-z'
'x,-y,z'
'x+1/2,y+1/2,z'
'-x+1/2,-y+1/2,-z'
'-x+1/2,y+1/2,-z'
'x+1/2,-y+1/2,z'
loop_
_atom_site_label
_atom_site_type_symbol
_atom_site_fract_x
_atom_site_fract_y
_atom_site_fract_z
Bi1 Bi 0.000 0.000 0.000
Te1 Te 0.000 0.302 0.500
O1 O 0.000 0.248 0.000
O2 O 0.061 0.500 0.859
O3 O 0.190 0.133 0.521
# - total magnetization (μB per formula unit) = 0.0
# - electronic total energy (eV for the cell shown) = -114.91
# - raw formation energy (eV per atom) = -0.693
# - energy above the lowest structure with this stoichiometry (meV per atom) = 0

Entry 4:
# Te3RhCl (GGA-PBE, optimized geometry)
data_Te3RhCl
_chemical_formula_sum 'Te3 Rh1 Cl1'
_cell_length_a 5.238
_cell_length_b 5.238
_cell_length_c 5.238
_cell_angle_alpha 90.00
_cell_angle_beta 90.00
_cell_angle_gamma 90.00
_space_group_name_H-M_alt 'P m -3 m'
_space_group_IT_number 221
_space_group_name_Hall '-P 4 2 3'
loop_
_atom_site_label
_atom_site_type_symbol
_atom_site_fract_x
_atom_site_fract_y
_atom_site_fract_z
Te1 Te 0.000 0.000 0.500
Rh1 Rh 0.000 0.000 0.000
Cl1 Cl 0.500 0.500 0.500
# - total magnetization (μB per formula unit) = 0.0
# - electronic total energy (eV for the cell shown) = -17.13
# - raw formation energy (eV per atom) = 0.298
# - energy above the lowest structure with this stoichiometry (meV per atom) = 0

Entry 5:
# ZnIn2Ag (GGA-PBE, optimized geometry)
data_ZnIn2Ag
_chemical_formula_sum 'Zn1 In2 Ag1'
_cell_length_a 3.192
_cell_length_b 3.192
_cell_length_c 8.416
_cell_angle_alpha 90.00
_cell_angle_beta 90.00
_cell_angle_gamma 90.00
_space_group_name_H-M_alt 'P 4 m m'
_space_group_IT_number 99
loop_
_space_group_symop_operation_xyz
'x,y,z'
'-y,x,z'
'-x,-y,z'
'y,-x,z'
'-x,y,z'
'y,x,z'
'x,-y,z'
'-y,-x,z'
loop_
_atom_site_label
_atom_site_type_symbol
_atom_site_fract_x
_atom_site_fract_y
_atom_site_fract_z
Zn1 Zn 0.000 0.000 0.000
In1 In 0.000 0.000 0.438
In2 In 0.500 0.500 0.751
Ag1 Ag 0.500 0.500 0.189
# - total magnetization (μB per formula unit) = 0.0
# - electronic total energy (eV for the cell shown) = -9.42
# - formation energy from the elements (kJ/mol of atoms) = 4

Entry 6:
# BaMgAl2 (GGA-PBE, optimized geometry)
data_BaMgAl2
_chemical_formula_sum 'Ba2 Mg2 Al4'
_cell_length_a 7.992
_cell_length_b 4.617
_cell_length_c 6.879
_cell_angle_alpha 90.00
_cell_angle_beta 112.86
_cell_angle_gamma 90.00
_space_group_name_H-M_alt 'C 1 m 1'
_space_group_IT_number 8
loop_
_space_group_symop_operation_xyz
'x,y,z'
'x,-y,z'
'x+1/2,y+1/2,z'
'x+1/2,-y+1/2,z'
loop_
_atom_site_label
_atom_site_type_symbol
_atom_site_fract_x
_atom_site_fract_y
_atom_site_fract_z
Ba1 Ba 0.000 0.000 0.000
Mg1 Mg 0.200 0.000 0.600
Al1 Al 0.290 0.500 0.371
Al2 Al 0.473 0.000 0.419
# - total magnetization (μB per formula unit) = 0.3
# - electronic total energy (eV for the cell shown) = -22.69
# - formation energy from the elements (kJ/mol of atoms) = -8

Entry 7:
# Ce2NdGe (GGA-PBE, optimized geometry)
data_Ce2NdGe
_chemical_formula_sum 'Ce2 Nd1 Ge1'
_cell_length_a 4.566
_cell_length_b 4.566
_cell_length_c 4.913
_cell_angle_alpha 90.00
_cell_angle_beta 90.00
_cell_angle_gamma 90.00
_space_group_name_H-M_alt 'P 4/m m m'
_space_group_IT_number 123
_space_group_name_Hall '-P 4 2'
loop_
_atom_site_label
_atom_site_type_symbol
_atom_site_fract_x
_atom_site_fract_y
_atom_site_fract_z
Ce1 Ce 0.000 0.500 0.000
Nd1 Nd 0.000 0.000 0.500
Ge1 Ge 0.500 0.500 0.500
# - total magnetization (μB per formula unit) = 1.4
# - electronic total energy (eV for the cell shown) = -22.66
# - formation energy from the elements (kJ/mol of atoms) = -34
# - energy above the lowest structure with this stoichiometry (meV per atom) = 109

Entry 8:
# La2Dy4Tm5 (GGA-PBE, optimized geometry)
data_La2Dy4Tm5
_chemical_formula_sum 'La2 Dy4 Tm5'
_cell_length_a 3.568
_cell_length_b 9.049
_cell_length_c 12.108
_cell_angle_alpha 68.36
_cell_angle_beta 81.70
_cell_angle_gamma 89.75
_space_group_name_H-M_alt 'P -1'
_space_group_IT_number 2
loop_
_space_group_symop_operation_xyz
'x,y,z'
'-x,-y,-z'
loop_
_atom_site_label
_atom_site_type_symbol
_atom_site_fract_x
_atom_site_fract_y
_atom_site_fract_z
La1 La 0.122 0.428 0.275
Dy1 Dy 0.058 0.710 0.415
Dy2 Dy 0.313 0.159 0.866
Tm1 Tm 0.131 0.075 0.241
Tm2 Tm 0.265 0.663 0.968
Tm3 Tm 0.500 0.000 0.500
# - total magnetization (μB per formula unit) = 0.0
# - electronic total energy (eV for the cell shown) = -49.26
# - formation energy from the elements (kJ/mol of atoms) = 12
# - energy above the lowest structure with this stoichiometry (meV per atom) = 0

Entry 9:
# Er12Tm6Mg (GGA-PBE, optimized geometry)
data_Er12Tm6Mg
_chemical_formula_sum 'Er36 Tm18 Mg3'
_cell_length_a 11.6871
_cell_length_b 11.6871
_cell_length_c 14.8517
_cell_angle_alpha 90.00
_cell_angle_beta 90.00
_cell_angle_gamma 120.00
_space_group_name_H-M_alt 'R -3'
_space_group_IT_number 148
_space_group_name_Hall '-R 3'
loop_
_atom_site_label
_atom_site_type_symbol
_atom_site_fract_x
_atom_site_fract_y
_atom_site_fract_z
Er1 Er 0.0037 0.8259 0.3132
Er2 Er 0.0457 0.1955 0.9154
Tm1 Tm 0.0185 0.5913 0.1887
Mg1 Mg 0.0000 0.0000 0.5000
# - total magnetization (μB per formula unit) = 0.0
# - electronic total energy (eV for the cell shown) = -241.33
# - formation energy from the elements (kJ/mol of atoms) = 14
# - energy above the lowest structure with this stoichiometry (meV per atom) = 117

Entry 10:
# Ac4ZnO7 (GGA-PBE, optimized geometry)
data_Ac4ZnO7
_chemical_formula_sum 'Ac8 Zn2 O14'
_cell_length_a 13.809
_cell_length_b 4.271
_cell_length_c 9.583
_cell_angle_alpha 90.00
_cell_angle_beta 132.98
_cell_angle_gamma 90.00
_space_group_name_H-M_alt 'C 1 2/m 1'
_space_group_IT_number 12
loop_
_space_group_symop_operation_xyz
'x,y,z'
'-x,-y,-z'
'-x,y,-z'
'x,-y,z'
'x+1/2,y+1/2,z'
'-x+1/2,-y+1/2,-z'
'-x+1/2,y+1/2,-z'
'x+1/2,-y+1/2,z'
loop_
_atom_site_label
_atom_site_type_symbol
_atom_site_fract_x
_atom_site_fract_y
_atom_site_fract_z
Ac1 Ac 0.083 0.000 0.382
Ac2 Ac 0.246 0.000 0.153
Zn1 Zn 0.000 0.500 0.000
O1 O 0.000 0.000 0.000
O2 O 0.084 0.500 0.894
O3 O 0.135 0.000 0.699
O4 O 0.204 0.500 0.554
# - total magnetization (μB per formula unit) = 0.0
# - electronic total energy (eV for the cell shown) = -176.05
# - raw formation energy (eV per atom) = -2.968

Entry 11:
# Ca3In2Ag2Hg4 (GGA-PBE, optimized geometry)
data_Ca3In2Ag2Hg4
_chemical_formula_sum 'Ca3 In2 Ag2 Hg4'
_cell_length_a 4.8985
_cell_length_b 4.8985
_cell_length_c 14.0477
_cell_angle_alpha 90.00
_cell_angle_beta 90.00
_cell_angle_gamma 120.00
_space_group_name_H-M_alt 'P -3 m 1'
_space_group_IT_number 164
_space_group_name_Hall '-P 3 2"'
loop_
_atom_site_label
_atom_site_type_symbol
_atom_site_fract_x
_atom_site_fract_y
_atom_site_fract_z
Ca1 Ca 0.0000 0.0000 0.0000
Ca2 Ca 0.0000 0.0000 0.2595
In1 In 0.3333 0.6667 0.5727
Ag1 Ag 0.3333 0.6667 0.1389
Hg1 Hg 0.3333 0.6667 0.3598
Hg2 Hg 0.3333 0.6667 0.8770
# - total magnetization (μB per formula unit) = 0.0
# - electronic total energy (eV for the cell shown) = -21.86
# - formation energy from the elements (kJ/mol of atoms) = -30

Entry 12:
# Tb4NdSm (GGA-PBE, optimized geometry)
data_Tb4NdSm
_chemical_formula_sum 'Tb16 Nd4 Sm4'
_cell_length_a 6.780
_cell_length_b 12.108
_cell_length_c 9.775
_cell_angle_alpha 90.00
_cell_angle_beta 90.00
_cell_angle_gamma 90.00
_space_group_name_H-M_alt 'C m c m'
_space_group_IT_number 63
_space_group_name_Hall '-C 2c 2'
loop_
_atom_site_label
_atom_site_type_symbol
_atom_site_fract_x
_atom_site_fract_y
_atom_site_fract_z
Tb1 Tb 0.000 0.155 0.071
Tb2 Tb 0.238 0.102 0.750
Nd1 Nd 0.000 0.321 0.750
Sm1 Sm 0.000 0.500 0.000
# - total magnetization (μB per formula unit) = 0.0
# - electronic total energy (eV for the cell shown) = -106.22
# - formation energy from the elements (kJ/mol of atoms) = 23
# - energy above the lowest structure with this stoichiometry (meV per atom) = 228

| no. | D(E_F) (states/eV/f.u.) |
| --- | --- |
| 1 | 4.9 |
| 2 | 1.9 |
| 3 | 2.2 |
| 4 | 7.8 |
| 5 | 1.5 |
| 6 | 2.9 |
| 7 | 9.3 |
| 8 | 15.5 |
| 9 | 31.1 |
| 10 | 0.0 |
| 11 | 5.1 |
| 12 | 8.2 |